(1)
Entry from the Alexandria database: a relaxed structure of InSnPb14 (PBE).

The structure in extended XYZ format:
```
16
Lattice="8.3395 -0.0170 0.0000 0.0184 8.3395 0.0000 0.0000 0.0000 7.1748" Properties=species:S:1:pos:R:3 pbc="T T T"
Pb 1.0579 1.0534 1.8304
Pb 3.1435 7.2907 3.5874
Pb 5.2013 1.0451 1.8301
Pb 5.2106 5.1885 5.3446
Pb 1.0672 5.1968 1.8301
Pb 7.3040 3.1125 3.5874
Pb 3.1342 3.1209 0.0000
Pb 7.3039 3.1124 0.0000
Pb 5.2013 1.0451 5.3446
Pb 1.0579 1.0534 5.3444
Pb 5.2106 5.1885 1.8302
Pb 1.0672 5.1968 5.3446
Pb 7.3131 7.2821 0.0000
Pb 3.1434 7.2906 0.0000
In 7.3131 7.2820 3.5874
Sn 3.1341 3.1208 3.5874
```

Properties
The calculation puts the formation energy at 0.74 kcal/mol of atoms. As for the density of states at the Fermi level: 0.51 states/eV/atom. For the uncorrected energy, the calculation gives -58.142 eV for the cell shown.

=====

(2)
Entry from the Alexandria database: a relaxed structure of CaCrPbCl6 (PBE).

The structure in extended XYZ format:
```
18
Lattice="-6.1127 2.1101 2.0243 3.2544 -4.8063 3.4962 5.4031 8.8309 7.1105" Properties=species:S:1:pos:R:3 pbc="T T T"
Cl -1.2462 -0.4552 4.4960
Cl 0.8301 2.3660 4.5390
Cl -1.9616 4.4846 4.0292
Cl 4.5064 1.6500 8.6019
Cl 3.7911 6.5899 8.1351
Cl 4.4598 3.8882 5.8577
Cl -4.1061 1.5991 4.1178
Cl 3.9835 4.3014 10.8310
Cl 1.7147 3.7686 8.0920
Cl -1.4386 1.8332 1.8001
Cl 6.6509 4.5356 8.5133
Cl -1.9150 2.2465 6.7734
Ca 1.0620 6.4278 7.8478
Ca 1.4828 -0.2931 4.7832
Cr 4.1844 4.1223 8.3385
Cr -1.6396 2.0123 4.2926
Pb 2.7016 4.4154 3.5553
Pb 0.0000 0.0000 0.0000
```

Properties
As for the density of states at the Fermi level: 0.60 states/eV/atom. For the uncorrected energy, the calculation gives -79.236 eV for the cell shown.

=====

(3)
Entry from the Alexandria database: a relaxed structure of Eu2As3Pt3 (PBE).

The structure in extended XYZ format:
```
8
Lattice="-4.3476 5.5854 1.2196 -5.4919 -4.5060 1.0588 4.4030 -0.8082 19.3974" Properties=species:S:1:pos:R:3 pbc="T T T"
As -2.2222 0.0446 13.0232
As -3.2143 0.2267 8.6527
As -4.9197 0.5397 1.1392
Pt -2.7182 0.1356 10.8379
Pt -1.0323 -0.1739 18.2655
Pt -4.4042 0.4451 3.4104
Eu -1.5949 -0.0706 15.7867
Eu -3.8416 0.3418 5.8891
```

Properties
The calculation puts the formation energy at 24.42 kcal/mol of atoms. As for the density of states at the Fermi level: 0.96 states/eV/atom. For the uncorrected energy, the calculation gives -44.147 eV for the cell shown.